Record 1
Compound: In2GaAg8
Source: the Alexandria database
Functional: PBE-GGA
Structure: optimized geometry

Unit cell a=4.160 b=8.523 c=7.675 alpha=123.73 beta=105.72 gamma=90.00
Element x y z (fractional)
Ag: 0.664 0.918 0.327
Ag: 0.336 0.591 0.673
Ag: 0.177 0.177 0.355
Ag: 0.000 0.227 0.000
Ag: 0.823 0.823 0.645
Ag: 0.664 0.409 0.327
Ag: 0.336 0.082 0.673
Ag: 0.000 0.773 0.000
Ga: 0.500 0.000 0.000
In: 0.142 0.642 0.284
In: 0.858 0.358 0.716

Properties
- energy relative to the lowest polymorph listed for this composition (eV/atom) = 0.019
- SG = No. 71

Record 2
Compound: In5GaAg6
Source: the Alexandria database
Functional: PBE-GGA
Structure: optimized geometry

Unit cell a=4.387 b=8.602 c=8.129 alpha=121.89 beta=105.57 gamma=90.16
Element x y z (fractional)
Ag: 0.164 0.414 0.329
Ag: 0.165 0.914 0.329
Ag: 0.498 0.253 0.000
Ag: 0.502 0.747 0.000
Ag: 0.835 0.086 0.671
Ag: 0.836 0.586 0.671
Ga: 0.000 0.000 0.000
In: 0.342 0.842 0.684
In: 0.671 0.671 0.342
In: 0.000 0.500 0.000
In: 0.329 0.329 0.658
In: 0.658 0.158 0.316

Properties
- SG = No. 12

Record 3
Compound: InGa4Ag5
Source: the Alexandria database
Functional: PBE-GGA
Structure: optimized geometry

Unit cell a=5.208 b=6.749 c=6.749 alpha=81.44 beta=67.30 gamma=67.30
Element x y z (fractional)
In: 0.106 0.000 0.000
Ga: 0.322 0.420 0.883
Ga: 0.742 0.883 0.580
Ga: 0.205 0.117 0.420
Ga: 0.625 0.580 0.117
Ag: 0.896 0.443 0.717
Ag: 0.339 0.717 0.557
Ag: 0.613 0.283 0.443
Ag: 0.055 0.557 0.283
Ag: 0.608 0.000 0.000

Properties
- energy relative to the lowest polymorph listed for this composition (eV/atom) = 0.024
- SG = No. 79

Record 4
Compound: In2GaAg2
Source: the Alexandria database
Functional: PBE-GGA
Structure: optimized geometry

Unit cell a=4.024 b=4.024 c=7.606 alpha=74.66 beta=74.66 gamma=90.00
Element x y z (fractional)
Ga: 0.000 0.000 0.000
Ag: 0.750 0.250 0.500
Ag: 0.250 0.750 0.500
In: 0.399 0.399 0.203
In: 0.601 0.601 0.797

Properties
- energy relative to the lowest polymorph listed for this composition (eV/atom) = 0.078
- SG = No. 139

Record 5
Compound: InGaAg6
Source: the Alexandria database
Functional: PBE-GGA
Structure: optimized geometry

Unit cell a=4.222 b=4.222 c=8.152 alpha=90.00 beta=90.00 gamma=90.00
Element x y z (fractional)
In: 0.000 0.000 0.000
Ga: 0.000 0.000 0.500
Ag: 0.500 0.500 0.000
Ag: 0.500 0.500 0.500
Ag: 0.500 0.000 0.258
Ag: 0.500 0.000 0.742
Ag: 0.000 0.500 0.258
Ag: 0.000 0.500 0.742

Properties
- energy relative to the lowest polymorph listed for this composition (eV/atom) = 0.000
- SG = No. 123

Record 6
Compound: InGa3Ag9
Source: the Alexandria database
Functional: PBE-GGA
Structure: optimized geometry

Unit cell a=6.938 b=7.650 c=9.425 alpha=90.00 beta=90.59 gamma=90.00
Element x y z (fractional)
In: 0.000 0.250 0.301
In: 0.000 0.750 0.699
Ga: 0.000 0.000 0.000
Ga: 0.000 0.500 0.000
Ga: 0.426 0.415 0.619
Ga: 0.426 0.085 0.619
Ga: 0.574 0.915 0.381
Ga: 0.574 0.585 0.381
Ag: 0.365 0.250 0.008
Ag: 0.307 0.933 0.854
Ag: 0.307 0.567 0.854
Ag: 0.171 0.935 0.444
Ag: 0.171 0.565 0.444
Ag: 0.073 0.250 0.770
Ag: 0.304 0.933 0.163
Ag: 0.304 0.567 0.163
Ag: 0.424 0.250 0.339
Ag: 0.576 0.750 0.661
Ag: 0.696 0.067 0.837
Ag: 0.696 0.433 0.837
Ag: 0.927 0.750 0.230
Ag: 0.829 0.065 0.556
Ag: 0.829 0.435 0.556
Ag: 0.693 0.067 0.146
Ag: 0.693 0.433 0.146
Ag: 0.635 0.750 0.992

Properties
- SG = No. 11

no.,total moment (μB/f.u.),DOS(E_F) (states/eV per atom),energy of formation from the pure elements (eV per atom)
1,0.0,0.304,0.011
2,0.0,0.379,0.033
3,0.0,0.244,0.096
4,0.0,0.584,0.123
5,0.0,0.422,0.004
6,0.0,0.247,0.062